Entry 1:
# SCAN KNb3Ru, single point on PBEsol structure
data_KNb3Ru
_cell_length_a 4.4856
_cell_length_b 4.4856
_cell_length_c 4.4856
_cell_angle_alpha 90.00
_cell_angle_beta 90.00
_cell_angle_gamma 90.00
_symmetry_space_group_name_H-M 'P m -3 m'
_symmetry_Int_Tables_number 221
_symmetry_space_group_name_Hall '-P 4 2 3'
loop_
_atom_site_label
_atom_site_type_symbol
_atom_site_fract_x
_atom_site_fract_y
_atom_site_fract_z
K1 K 0.0000 0.0000 0.0000
Nb1 Nb 0.0000 0.0000 0.5000
Ru1 Ru 0.5000 0.5000 0.5000
# E above lowest polymorph (eV per atom): 1.690
# Energy of formation (meV per atom): 2851


Entry 2:
# SCAN K2BeFe, single point on PBEsol structure
data_K2BeFe
_cell_length_a 4.1862
_cell_length_b 4.1966
_cell_length_c 5.3474
_cell_angle_alpha 90.00
_cell_angle_beta 90.00
_cell_angle_gamma 90.00
_symmetry_space_group_name_H-M 'P m m m'
_symmetry_Int_Tables_number 47
_symmetry_space_group_name_Hall '-P 2 2'
loop_
_atom_site_label
_atom_site_type_symbol
_atom_site_fract_x
_atom_site_fract_y
_atom_site_fract_z
K1 K 0.0000 0.0000 0.0000
K2 K 0.5000 0.5000 0.0000
Be1 Be 0.0000 0.5000 0.5000
Fe1 Fe 0.5000 0.0000 0.5000
# Energy of formation (meV per atom): 1206


Entry 3:
# SCAN CaMg4Cu, single point on PBEsol structure
data_CaMg4Cu
_cell_length_a 8.8582
_cell_length_b 4.0608
_cell_length_c 7.5384
_cell_angle_alpha 90.00
_cell_angle_beta 90.00
_cell_angle_gamma 90.00
_symmetry_space_group_name_H-M 'P m m a'
_symmetry_Int_Tables_number 51
_symmetry_space_group_name_Hall '-P 2a 2a'
loop_
_atom_site_label
_atom_site_type_symbol
_atom_site_fract_x
_atom_site_fract_y
_atom_site_fract_z
Ca1 Ca 0.2500 0.0000 0.0944
Mg1 Mg 0.0000 0.0000 0.5000
Mg2 Mg 0.0641 0.5000 0.8031
Mg3 Mg 0.2500 0.5000 0.4516
Cu1 Cu 0.2500 0.0000 0.6952
# Energy of formation (meV per atom): -117


Entry 4:
# SCAN ZnGaTeN2, single point on PBEsol structure
data_ZnGaTeN2
_cell_length_a 3.9036
_cell_length_b 3.9036
_cell_length_c 5.8496
_cell_angle_alpha 90.00
_cell_angle_beta 90.00
_cell_angle_gamma 90.00
_symmetry_space_group_name_H-M 'P 4/m m m'
_symmetry_Int_Tables_number 123
_symmetry_space_group_name_Hall '-P 4 2'
loop_
_atom_site_label
_atom_site_type_symbol
_atom_site_fract_x
_atom_site_fract_y
_atom_site_fract_z
Zn1 Zn 0.0000 0.0000 0.0000
Ga1 Ga 0.5000 0.5000 0.5000
Te1 Te 0.0000 0.0000 0.5000
N1 N 0.0000 0.5000 0.0000
# E_form (uncorrected) (kJ/mol of atoms): 120.6


Entry 5:
# SCAN WSeN2F, single point on PBEsol structure
data_WSeN2F
_cell_length_a 3.8907
_cell_length_b 3.8907
_cell_length_c 3.8057
_cell_angle_alpha 90.00
_cell_angle_beta 90.00
_cell_angle_gamma 90.00
_symmetry_space_group_name_H-M 'P 4/m m m'
_symmetry_Int_Tables_number 123
_symmetry_space_group_name_Hall '-P 4 2'
loop_
_atom_site_label
_atom_site_type_symbol
_atom_site_fract_x
_atom_site_fract_y
_atom_site_fract_z
W1 W 0.0000 0.0000 0.0000
Se1 Se 0.5000 0.5000 0.0000
N1 N 0.0000 0.5000 0.5000
F1 F 0.5000 0.5000 0.5000
# E_form (uncorrected) (kJ/mol of atoms): 215.6


Entry 6:
# SCAN BeTe2, single point on PBEsol structure
data_BeTe2
_cell_length_a 3.4341
_cell_length_b 3.4341
_cell_length_c 23.8186
_cell_angle_alpha 90.00
_cell_angle_beta 90.00
_cell_angle_gamma 120.00
_symmetry_space_group_name_H-M 'P -3 m 1'
_symmetry_Int_Tables_number 164
_symmetry_space_group_name_Hall '-P 3 2"'
loop_
_atom_site_label
_atom_site_type_symbol
_atom_site_fract_x
_atom_site_fract_y
_atom_site_fract_z
Be1 Be 0.0000 0.0000 0.0000
Be2 Be 0.3333 0.6667 0.3481
Te1 Te 0.0000 0.0000 0.4053
Te2 Te 0.3333 0.6667 0.0706
Te3 Te 0.3333 0.6667 0.2488
# E_form (uncorrected) (kJ/mol of atoms): 3.1
# E above lowest polymorph (eV per atom): 0.000


Entry 7:
# SCAN ScSb2TeF, single point on PBEsol structure
data_ScSb2TeF
_cell_length_a 4.6206
_cell_length_b 4.6206
_cell_length_c 5.4084
_cell_angle_alpha 90.00
_cell_angle_beta 90.00
_cell_angle_gamma 90.00
_symmetry_space_group_name_H-M 'P 4/m m m'
_symmetry_Int_Tables_number 123
_symmetry_space_group_name_Hall '-P 4 2'
loop_
_atom_site_label
_atom_site_type_symbol
_atom_site_fract_x
_atom_site_fract_y
_atom_site_fract_z
Sc1 Sc 0.0000 0.0000 0.0000
Sb1 Sb 0.0000 0.5000 0.5000
Te1 Te 0.5000 0.5000 0.0000
F1 F 0.5000 0.5000 0.5000
# E_form (uncorrected) (kJ/mol of atoms): -41.0


Entry 8:
# SCAN TcPt2W, single point on PBEsol structure
data_TcPt2W
_cell_length_a 2.7248
_cell_length_b 4.4302
_cell_length_c 4.8671
_cell_angle_alpha 90.00
_cell_angle_beta 90.00
_cell_angle_gamma 90.00
_symmetry_space_group_name_H-M 'P m m 2'
_symmetry_Int_Tables_number 25
_symmetry_space_group_name_Hall 'P 2 -2'
loop_
_atom_site_label
_atom_site_type_symbol
_atom_site_fract_x
_atom_site_fract_y
_atom_site_fract_z
Tc1 Tc 0.0000 0.0000 0.0000
Pt1 Pt 0.5000 0.0000 0.5017
Pt2 Pt 0.5000 0.5000 0.1765
W1 W 0.0000 0.5000 0.6828
# E above lowest polymorph (eV per atom): 0.000
# Energy of formation (meV per atom): -300


no.,volume (Å³/f.u.)
1,90
2,94
3,136
4,89
5,58
6,81
7,115
8,59